Record 1
The following is a DFT calculation (PBE-GGA) of an optimized crystal structure of TiBiW2.

abc: 10.512 10.512 10.512
angles: 158.23 158.23 30.98
Positions (direct):
Ti 0.000 0.000 0.000
Ti 0.750 0.250 0.500
Bi 0.250 0.750 0.500
Bi 0.500 0.500 0.000
W 0.088 0.625 0.963
W 0.375 0.338 0.463
W 0.662 0.125 0.037
W 0.875 0.912 0.537

Crystal system ... tetragonal
ΔE_f ... 0.893 eV/atom
Space-group type ... I-42d

Record 2
The following is a DFT calculation (PBE-GGA) of an optimized crystal structure of TiBiW3.

abc: 4.719 4.719 4.719
angles: 90.00 90.00 90.00
Positions (direct):
Ti 0.000 0.000 0.000
Bi 0.500 0.500 0.500
W 0.000 0.000 0.500
W 0.000 0.500 0.000
W 0.500 0.000 0.000

Crystal system ... cubic
ΔE_f ... 1.852 eV/atom
Energy above the lowest structure with this stoichiometry ... 0.0 meV per atom
Space-group type ... Pm-3m